{
  "formula": "Tl2SnOsRh",
  "functional": "meta-GGA SCAN",
  "state": "single point on PBEsol structure",
  "cell": [[-0.075, 4.377, -1.972], [-5.184, -0.681, -1.314], [-1.478, 2.108, 4.737]],
  "species": ["Rh", "Tl", "Tl", "Os", "Sn"],
  "fractional_positions": [[0.500, 0.000, 0.000], [0.000, 0.000, 0.500], [0.000, 0.500, 0.000], [0.500, 0.500, 0.500], [0.000, 0.000, 0.000]],
  "formation_enthalpy_0k_ev_per_atom": 1.898,
  "e_tot_ev_per_atom": -55.3598,
  "total_magnetization_mub_per_cell": 3.29,
  "n_ef_per_ev_cell": 3.880
}


{
  "formula": "LaCoSi3",
  "functional": "meta-GGA SCAN",
  "state": "single point on PBEsol structure",
  "cell": [[-0.955, -3.110, 3.041], [4.254, -0.016, 1.319], [-0.910, 3.188, 2.974]],
  "species": ["Si", "Si", "Si", "Co", "La"],
  "fractional_positions": [[0.000, 0.500, 0.000], [0.000, 0.000, 0.500], [0.500, 0.000, 0.000], [0.000, 0.000, 0.000], [0.500, 0.500, 0.500]],
  "e_tot_ev_per_atom": -18.1262,
  "total_magnetization_mub_per_cell": 0.01,
  "formation_energy_uncorrected_ev_per_atom": -0.035,
  "n_ef_per_ev_cell": 4.643
}


{
  "formula": "Ta2CuNi",
  "functional": "meta-GGA SCAN",
  "state": "single point on PBEsol structure",
  "cell": [[-2.945, -3.202, 0.004], [1.296, -4.147, 0.219], [-0.698, -2.309, 3.621]],
  "species": ["Cu", "Ni", "Ta", "Ta"],
  "fractional_positions": [[0.500, 0.500, 0.500], [0.250, 0.250, 0.250], [0.000, 0.000, 0.000], [0.750, 0.750, 0.750]],
  "formation_enthalpy_0k_ev_per_atom": 0.308,
  "e_tot_ev_per_atom": -40.8268,
  "total_magnetization_mub_per_cell": 2.66,
  "n_ef_per_ev_cell": 3.008
}


{
  "formula": "LiTiCo2Rh",
  "functional": "meta-GGA SCAN",
  "state": "single point on PBEsol structure",
  "cell": [[4.049, 0.000, 0.000], [0.000, 4.049, 0.000], [0.000, 0.000, 4.249]],
  "species": ["Co", "Co", "Li", "Rh", "Ti"],
  "fractional_positions": [[0.000, 0.500, 0.000], [0.500, 0.000, 0.000], [0.000, 0.000, 0.500], [0.500, 0.500, 0.500], [0.000, 0.000, 0.000]],
  "formation_enthalpy_0k_ev_per_atom": 1.153,
  "e_tot_ev_per_atom": -16.2074,
  "total_magnetization_mub_per_cell": 1.27,
  "n_ef_per_ev_cell": 2.557
}


{
  "formula": "Ca3BiPt",
  "functional": "meta-GGA SCAN",
  "state": "single point on PBEsol structure",
  "cell": [[5.404, 0.000, 0.000], [0.000, 5.404, 0.000], [0.000, 0.000, 5.404]],
  "species": ["Ca", "Ca", "Ca", "Bi", "Pt"],
  "fractional_positions": [[0.000, 0.500, 0.000], [0.000, 0.000, 0.500], [0.500, 0.000, 0.000], [0.500, 0.500, 0.500], [0.000, 0.000, 0.000]],
  "formation_enthalpy_0k_ev_per_atom": -0.792,
  "e_tot_ev_per_atom": -36.3446,
  "total_magnetization_mub_per_cell": 0.00,
  "n_ef_per_ev_cell": 2.536
}


{
  "formula": "BaBe2Si2",
  "functional": "meta-GGA SCAN",
  "state": "single point on PBEsol structure",
  "cell": [[-1.404, 2.620, -0.079], [-4.870, -2.442, 5.578], [4.850, 2.764, 5.444]],
  "species": ["Be", "Be", "Be", "Be", "Si", "Si", "Si", "Si", "Ba", "Ba"],
  "fractional_positions": [[0.500, 0.119, 0.619], [0.500, 0.619, 0.881], [0.500, 0.881, 0.381], [0.500, 0.381, 0.119], [0.000, 0.379, 0.879], [0.000, 0.879, 0.621], [0.000, 0.621, 0.121], [0.000, 0.121, 0.379], [0.000, 0.000, 0.000], [0.000, 0.500, 0.500]],
  "e_tot_ev_per_atom": -13.1943,
  "total_magnetization_mub_per_cell": 0.00,
  "formation_energy_uncorrected_ev_per_atom": 0.463,
  "n_ef_per_ev_cell": 2.553
}


{
  "formula": "Sr2TeCl",
  "functional": "meta-GGA SCAN",
  "state": "single point on PBEsol structure",
  "cell": [[3.953, 0.000, 0.000], [0.000, 5.446, 0.000], [0.000, 0.000, 5.446]],
  "species": ["Sr", "Sr", "Te", "Cl"],
  "fractional_positions": [[0.000, 0.000, 0.500], [0.000, 0.500, 0.000], [0.500, 0.500, 0.500], [0.500, 0.000, 0.000]],
  "e_tot_ev_per_atom": -24.0708,
  "total_magnetization_mub_per_cell": 0.00,
  "formation_energy_uncorrected_ev_per_atom": -1.626,
  "n_ef_per_ev_cell": 2.301
}


{
  "formula": "Zr2ZnCd",
  "functional": "meta-GGA SCAN",
  "state": "single point on PBEsol structure",
  "cell": [[4.841, 0.000, 0.000], [2.421, 4.193, 0.000], [2.421, 1.398, 3.953]],
  "species": ["Cd", "Zn", "Zr", "Zr"],
  "fractional_positions": [[0.500, 0.500, 0.500], [0.250, 0.250, 0.250], [0.000, 0.000, 0.000], [0.750, 0.750, 0.750]],
  "formation_enthalpy_0k_ev_per_atom": 0.106,
  "e_tot_ev_per_atom": -26.2260,
  "total_magnetization_mub_per_cell": 3.76,
  "n_ef_per_ev_cell": 1.512
}


{
  "formula": "KGe2P3O12",
  "functional": "meta-GGA SCAN",
  "state": "single point on PBEsol structure",
  "cell": [[-2.308, 1.033, 7.628], [-7.805, 0.714, 1.775], [-3.859, -6.901, 4.000]],
  "species": ["K", "K", "Ge", "Ge", "Ge", "Ge", "P", "P", "P", "P", "P", "P", "O", "O", "O", "O", "O", "O", "O", "O", "O", "O", "O", "O", "O", "O", "O", "O", "O", "O", "O", "O", "O", "O", "O", "O"],
  "fractional_positions": [[0.000, 0.000, 0.000], [0.500, 0.500, 0.500], [0.853, 0.853, 0.442], [0.147, 0.147, 0.558], [0.653, 0.653, 0.042], [0.347, 0.347, 0.958], [0.748, 0.466, 0.752], [0.466, 0.033, 0.752], [0.033, 0.748, 0.752], [0.252, 0.534, 0.248], [0.534, 0.967, 0.248], [0.967, 0.252, 0.248], [0.186, 0.533, 0.805], [0.533, 0.476, 0.805], [0.476, 0.186, 0.805], [0.814, 0.467, 0.195], [0.467, 0.524, 0.195], [0.524, 0.814, 0.195], [0.098, 0.735, 0.283], [0.735, 0.884, 0.283], [0.884, 0.098, 0.283], [0.902, 0.265, 0.717], [0.265, 0.116, 0.717], [0.116, 0.902, 0.717], [0.984, 0.229, 0.422], [0.365, 0.984, 0.422], [0.229, 0.365, 0.422], [0.016, 0.771, 0.578], [0.635, 0.016, 0.578], [0.771, 0.635, 0.578], [0.478, 0.833, 0.902], [0.788, 0.478, 0.902], [0.833, 0.788, 0.902], [0.522, 0.167, 0.098], [0.212, 0.522, 0.098], [0.167, 0.212, 0.098]],
  "e_tot_ev_per_atom": -10.7370,
  "total_magnetization_mub_per_cell": 0.00,
  "formation_energy_uncorrected_ev_per_atom": -2.266,
  "n_ef_per_ev_cell": 0.000
}


{
  "formula": "SiNiTe",
  "functional": "meta-GGA SCAN",
  "state": "single point on PBEsol structure",
  "cell": [[-0.008, -3.622, 0.764], [3.125, 1.956, 0.335], [-1.048, 0.925, 4.374]],
  "species": ["Ni", "Si", "Te"],
  "fractional_positions": [[0.000, 0.000, 0.961], [0.333, 0.667, 0.781], [0.667, 0.333, 0.258]],
  "e_tot_ev_per_atom": -21.1520,
  "total_magnetization_mub_per_cell": 0.00,
  "formation_energy_uncorrected_ev_per_atom": -0.005,
  "n_ef_per_ev_cell": 1.099
}


{
  "formula": "La2TcCl",
  "functional": "meta-GGA SCAN",
  "state": "single point on PBEsol structure",
  "cell": [[4.166, 0.000, 0.000], [0.000, 4.166, 0.000], [0.000, 0.000, 5.777]],
  "species": ["Cl", "Tc", "La", "La"],
  "fractional_positions": [[0.500, 0.500, 0.872], [0.000, 0.000, 0.328], [0.000, 0.000, 0.926], [0.500, 0.500, 0.373]],
  "e_tot_ev_per_atom": -33.1974,
  "total_magnetization_mub_per_cell": 0.00,
  "formation_energy_uncorrected_ev_per_atom": -0.885,
  "n_ef_per_ev_cell": 2.120
}


{
  "formula": "Ru2PtW",
  "functional": "meta-GGA SCAN",
  "state": "single point on PBEsol structure",
  "cell": [[3.896, 0.000, 0.000], [0.000, 3.896, 0.000], [-1.948, -1.948, 3.748]],
  "species": ["Ru", "Ru", "W", "Pt"],
  "fractional_positions": [[0.750, 0.250, 0.500], [0.250, 0.750, 0.500], [0.000, 0.000, 0.000], [0.500, 0.500, 0.000]],
  "formation_enthalpy_0k_ev_per_atom": -0.113,
  "e_tot_ev_per_atom": -52.4962,
  "total_magnetization_mub_per_cell": 0.00,
  "n_ef_per_ev_cell": 3.215
}


Repeat the third record exactly.
{
  "formula": "Ta2CuNi",
  "functional": "meta-GGA SCAN",
  "state": "single point on PBEsol structure",
  "cell": [[-2.945, -3.202, 0.004], [1.296, -4.147, 0.219], [-0.698, -2.309, 3.621]],
  "species": ["Cu", "Ni", "Ta", "Ta"],
  "fractional_positions": [[0.500, 0.500, 0.500], [0.250, 0.250, 0.250], [0.000, 0.000, 0.000], [0.750, 0.750, 0.750]],
  "formation_enthalpy_0k_ev_per_atom": 0.308,
  "e_tot_ev_per_atom": -40.8268,
  "total_magnetization_mub_per_cell": 2.66,
  "n_ef_per_ev_cell": 3.008
}